Material: OsPb
Method: DFT, PBE-GGA
State: relaxed

a = 4.4898 Å, b = 4.4898 Å, c = 5.0610 Å
α = 90.00°, β = 90.00°, γ = 120.00°
Fractional positions:
Os: 0.0000 0.0000 0.0000
Os: 0.0000 0.0000 0.5000
Pb: 0.3333 0.6667 0.2500
Pb: 0.6667 0.3333 0.7500

Computed properties:
For the formation energy from the elements, the calculation gives 1.62 eV per formula unit. As for the uncorrected energy: -6.660 eV/atom.